Material: Sr7OsN6
Method: DFT, PBEsol
State: optimized geometry

* total energy: -6.0164 eV/atom
* space group: Pbcn (60)
* calculated density: 5.4 g/cm3

Lattice parameters (Å, degrees): 6.635 11.815 13.846 90.00 90.00 90.00
Fractional positions:
N 0.245 0.879 0.206
Sr 0.128 0.782 0.375
N 0.905 0.668 0.496
Sr 0.107 0.787 0.621
Sr 0.925 0.500 0.750
N 0.745 0.379 0.294
N 0.745 0.621 0.206
Sr 0.425 0.000 0.750
Sr 0.628 0.282 0.125
Sr 0.732 0.035 0.982
Sr 0.628 0.718 0.375
N 0.087 0.029 0.641
N 0.595 0.832 0.996
N 0.405 0.168 0.004
Sr 0.607 0.287 0.879
N 0.755 0.121 0.794
N 0.587 0.471 0.641
N 0.413 0.471 0.141
N 0.587 0.529 0.859
N 0.913 0.029 0.141
Sr 0.872 0.218 0.625
Sr 0.872 0.782 0.875
Sr 0.393 0.713 0.121
Sr 0.607 0.713 0.621
N 0.913 0.971 0.359
Sr 0.232 0.535 0.518
N 0.255 0.379 0.794
N 0.255 0.621 0.706
Sr 0.575 0.000 0.250
N 0.905 0.332 0.004
Os 0.420 0.500 0.750
N 0.405 0.832 0.496
Os 0.920 0.000 0.750
Os 0.080 0.000 0.250
Sr 0.893 0.787 0.121
N 0.095 0.668 0.996
Sr 0.232 0.465 0.982
Sr 0.128 0.218 0.125
Sr 0.372 0.282 0.625
Sr 0.768 0.465 0.482
Sr 0.372 0.718 0.875
Sr 0.268 0.035 0.482
N 0.245 0.121 0.294
N 0.095 0.332 0.504
Sr 0.732 0.965 0.518
N 0.413 0.529 0.359
Sr 0.107 0.213 0.879
Sr 0.268 0.965 0.018
N 0.595 0.168 0.504
Sr 0.768 0.535 0.018
Sr 0.393 0.287 0.379
Sr 0.075 0.500 0.250
N 0.087 0.971 0.859
Os 0.580 0.500 0.250
N 0.755 0.879 0.706
Sr 0.893 0.213 0.379


Material: Sr3OsN3
Method: DFT, PBEsol
State: optimized geometry

* total energy: -6.8313 eV/atom
* space group: P6_3/m (176)
* calculated density: 6.1 g/cm3

Lattice parameters (Å, degrees): 5.259 7.686 7.686 120.00 90.00 90.00
Fractional positions:
Sr 0.250 0.640 0.904
Sr 0.750 0.904 0.264
N 0.250 0.894 0.308
N 0.750 0.106 0.692
Sr 0.750 0.736 0.640
Sr 0.250 0.096 0.736
Os 0.250 0.667 0.333
N 0.750 0.308 0.413
Sr 0.250 0.264 0.360
Os 0.750 0.333 0.667
Sr 0.750 0.360 0.096
N 0.250 0.692 0.587
N 0.250 0.413 0.106
N 0.750 0.587 0.894


Material: Sr5Os2N6
Method: DFT, PBEsol
State: optimized geometry

* total energy: -7.1040 eV/atom
* space group: C2/c (15)
* calculated density: 6.6 g/cm3

Lattice parameters (Å, degrees): 6.224 6.224 13.069 79.10 79.10 67.49
Fractional positions:
Sr 0.738 0.944 0.218
N 0.004 0.105 0.624
N 0.996 0.895 0.376
N 0.895 0.996 0.876
Sr 0.387 0.613 0.250
N 0.680 0.736 0.083
N 0.308 0.400 0.640
Sr 0.613 0.387 0.750
Sr 0.674 0.194 0.499
N 0.600 0.692 0.860
N 0.692 0.600 0.360
Os 0.866 0.672 0.443
Os 0.328 0.134 0.057
Os 0.134 0.328 0.557
N 0.105 0.004 0.124
Sr 0.944 0.738 0.718
Os 0.672 0.866 0.943
Sr 0.194 0.674 0.999
N 0.400 0.308 0.140
Sr 0.326 0.806 0.501
Sr 0.056 0.262 0.282
N 0.736 0.680 0.583
Sr 0.262 0.056 0.782
N 0.320 0.264 0.917
N 0.264 0.320 0.417
Sr 0.806 0.326 0.001


Material: TcOsN2
Method: DFT, PBEsol
State: optimized geometry

* total energy: -10.0327 eV/atom
* space group: R-3m (166)
* calculated density: 12.4 g/cm3
* excess energy over the best structure of this formula in the dataset: 0 meV/atom

Lattice parameters (Å, degrees): 2.730 2.730 6.733 78.31 78.31 60.00
Fractional positions:
Os 0.000 0.000 0.000
N 0.901 0.901 0.296
Tc 0.500 0.500 0.500
N 0.099 0.099 0.704


Material: TcOsN2
Method: DFT, PBEsol
State: optimized geometry

* total energy: -9.1371 eV/atom
* space group: Fm-3m (225)
* calculated density: 13.8 g/cm3
* excess energy over the best structure of this formula in the dataset: 896 meV/atom

Lattice parameters (Å, degrees): 3.771 3.771 3.771 60.00 60.00 60.00
Fractional positions:
N 0.250 0.250 0.250
Os 0.500 0.500 0.500
Tc 0.000 0.000 0.000
N 0.750 0.750 0.750


Material: TiTe2OsN
Method: DFT, PBEsol
State: optimized geometry

* total energy: -6.8656 eV/atom
* space group: P4/mmm (123)
* calculated density: 8.0 g/cm3

Lattice parameters (Å, degrees): 3.645 5.366 5.366 90.00 90.00 90.00
Fractional positions:
Te 0.000 0.000 0.500
Os 0.000 0.000 0.000
Te 0.000 0.500 0.000
N 0.500 0.000 0.000
Ti 0.500 0.500 0.500


Material: Ti2OsN
Method: DFT, PBEsol
State: optimized geometry

* total energy: -9.0977 eV/atom
* space group: Fm-3m (225)
* calculated density: 9.7 g/cm3

Lattice parameters (Å, degrees): 4.172 4.172 4.172 60.00 60.00 60.00
Fractional positions:
N 0.000 0.000 0.000
Ti 0.250 0.250 0.250
Ti 0.750 0.750 0.750
Os 0.500 0.500 0.500


Material: TiOsN2
Method: DFT, PBEsol
State: optimized geometry

* total energy: -9.8211 eV/atom
* space group: R-3m (166)
* calculated density: 10.0 g/cm3

Lattice parameters (Å, degrees): 2.879 2.879 6.383 76.97 76.97 60.00
Fractional positions:
Ti 0.500 0.500 0.500
N 0.896 0.896 0.311
Os 0.000 0.000 0.000
N 0.104 0.104 0.689


Material: OsWN2
Method: DFT, PBEsol
State: optimized geometry

* total energy: -10.7247 eV/atom
* space group: R-3m (166)
* calculated density: 15.1 g/cm3
* excess energy over the best structure of this formula in the dataset: 0 meV/atom

Lattice parameters (Å, degrees): 2.781 2.781 6.805 78.21 78.21 60.00
Fractional positions:
Os 0.000 0.000 0.000
W 0.500 0.500 0.500
N 0.901 0.901 0.296
N 0.099 0.099 0.704


Material: ZnOsN3
Method: DFT, PBEsol
State: optimized geometry

* total energy: -6.8782 eV/atom
* space group: Pm-3m (221)
* calculated density: 8.7 g/cm3

Lattice parameters (Å, degrees): 3.844 3.844 3.844 90.00 90.00 90.00
Fractional positions:
N 0.500 0.000 0.000
N 0.000 0.500 0.000
N 0.000 0.000 0.500
Zn 0.500 0.500 0.500
Os 0.000 0.000 0.000


Material: Zr4Os2N
Method: DFT, PBEsol
State: optimized geometry

* total energy: -10.7810 eV/atom
* space group: Fd-3m (227)
* calculated density: 10.8 g/cm3

Lattice parameters (Å, degrees): 8.698 8.698 8.698 60.00 60.00 60.00
Fractional positions:
Os 0.259 0.914 0.914
Zr 0.935 0.565 0.565
Zr 0.685 0.315 0.315
Zr 0.935 0.565 0.935
Zr 0.125 0.625 0.125
Os 0.914 0.259 0.914
Os 0.991 0.336 0.336
Zr 0.125 0.125 0.125
Zr 0.565 0.565 0.935
Zr 0.565 0.935 0.935
Os 0.336 0.336 0.336
Zr 0.685 0.315 0.685
Os 0.336 0.991 0.336
N 0.625 0.625 0.625
Os 0.914 0.914 0.259
N 0.625 0.125 0.625
Zr 0.315 0.315 0.685
Zr 0.625 0.125 0.125
Zr 0.685 0.685 0.315
Zr 0.315 0.685 0.685
Os 0.914 0.914 0.914
N 0.125 0.625 0.625
Zr 0.565 0.935 0.565
Os 0.336 0.336 0.991
Zr 0.315 0.685 0.315
Zr 0.935 0.935 0.565
Zr 0.125 0.125 0.625
N 0.625 0.625 0.125


Material: P3N5
Method: DFT, PBEsol
State: optimized geometry

* total energy: -7.9151 eV/atom
* space group: Imm2 (44)
* calculated density: 3.6 g/cm3
* excess energy over the best structure of this formula in the dataset: 39 meV/atom

Lattice parameters (Å, degrees): 2.618 4.409 6.946 108.50 100.86 90.00
Fractional positions:
N 0.776 0.501 0.552
N 0.896 0.978 0.792
N 0.224 0.948 0.448
N 0.500 0.508 0.000
P 0.682 0.134 0.364
N 0.104 0.186 0.208
P 0.318 0.771 0.636
P 0.000 0.307 0.000


Material: P3N5
Method: DFT, PBEsol
State: optimized geometry

* total energy: -7.9539 eV/atom
* space group: C2/c (15)
* calculated density: 2.7 g/cm3
* excess energy over the best structure of this formula in the dataset: 0 meV/atom

Lattice parameters (Å, degrees): 5.022 5.022 8.794 101.56 100.87 108.59
Fractional positions:
P 0.339 0.625 0.556
P 0.070 0.283 0.944
N 0.500 0.389 0.600
P 0.930 0.717 0.056
P 0.483 0.233 0.750
N 0.211 0.600 0.100
N 0.229 0.302 0.808
N 0.495 0.921 0.692
N 0.505 0.079 0.308
N 0.789 0.400 0.900
N 0.500 0.611 0.400
N 0.000 0.000 0.000
N 0.000 0.500 0.500
P 0.517 0.767 0.250
P 0.661 0.375 0.444
N 0.771 0.698 0.192


Material: PPdS2N
Method: DFT, PBEsol
State: optimized geometry

* total energy: -4.8732 eV/atom
* space group: P4/mmm (123)
* calculated density: 5.2 g/cm3

Lattice parameters (Å, degrees): 3.584 4.373 4.373 90.00 90.00 90.00
Fractional positions:
Pd 0.500 0.500 0.500
S 0.000 0.000 0.500
N 0.000 0.000 0.000
S 0.000 0.500 0.000
P 0.500 0.000 0.000


Material: PPdSN2
Method: DFT, PBEsol
State: optimized geometry

* total energy: -6.0448 eV/atom
* space group: P4/mmm (123)
* calculated density: 5.0 g/cm3

Lattice parameters (Å, degrees): 3.288 3.288 6.033 90.00 90.00 90.00
Fractional positions:
S 0.000 0.000 0.500
Pd 0.500 0.500 0.500
N 0.500 0.000 0.000
P 0.000 0.000 0.000
N 0.000 0.500 0.000


Material: PPtSe2N
Method: DFT, PBEsol
State: optimized geometry

* total energy: -5.2950 eV/atom
* space group: P4/mmm (123)
* calculated density: 8.8 g/cm3

Lattice parameters (Å, degrees): 3.146 4.896 4.896 90.00 90.00 90.00
Fractional positions:
Se 0.000 0.000 0.500
Pt 0.500 0.500 0.500
N 0.500 0.000 0.000
P 0.000 0.000 0.000
Se 0.000 0.500 0.000


Material: Tl2PPtN
Method: DFT, PBEsol
State: optimized geometry

* total energy: -4.7071 eV/atom
* space group: P4/mmm (123)
* calculated density: 11.4 g/cm3

Lattice parameters (Å, degrees): 3.374 5.295 5.295 90.00 90.00 90.00
Fractional positions:
Pt 0.500 0.500 0.500
N 0.000 0.000 0.000
P 0.500 0.000 0.000
Tl 0.000 0.000 0.500
Tl 0.000 0.500 0.000


Material: RbPN2
Method: DFT, PBEsol
State: optimized geometry

* total energy: -5.8466 eV/atom
* space group: R-3m (166)
* calculated density: 2.4 g/cm3

Lattice parameters (Å, degrees): 4.345 4.345 6.710 71.11 71.11 60.00
Fractional positions:
N 0.081 0.081 0.756
P 0.000 0.000 0.000
N 0.919 0.919 0.244
Rb 0.500 0.500 0.500


Material: RbP2SN
Method: DFT, PBEsol
State: optimized geometry

* total energy: -2.4277 eV/atom
* space group: P4/mmm (123)
* calculated density: 1.0 g/cm3

Lattice parameters (Å, degrees): 6.124 7.172 7.172 90.00 90.00 90.00
Fractional positions:
S 0.500 0.000 0.000
P 0.000 0.000 0.500
P 0.000 0.500 0.000
Rb 0.000 0.000 0.000
N 0.500 0.500 0.500


Material: RbPS2N
Method: DFT, PBEsol
State: optimized geometry

* total energy: -4.6239 eV/atom
* space group: P4/mmm (123)
* calculated density: 3.6 g/cm3

Lattice parameters (Å, degrees): 3.200 5.276 5.276 90.00 90.00 90.00
Fractional positions:
S 0.000 0.500 0.000
Rb 0.500 0.500 0.500
S 0.000 0.000 0.500
N 0.500 0.000 0.000
P 0.000 0.000 0.000